(1)
4
Lattice="3.408 0.000 0.000 -1.704 2.951 0.000 0.000 0.000 6.395" Properties=species:S:1:pos:R:3 comment="CuSnOsC PBE relaxed" dos_ef_per_ev_atom=0.315 dft_energy_ev_per_fu=-27.0 e_form_mev_per_atom=395 space_group="P3m1 (156)" pbc="T T T"
Cu 0.000 0.000 0.000
Sn 0.000 1.967 4.649
Os 0.000 1.967 1.987
C 0.000 0.000 2.021



(2)
5
Lattice="-2.010 2.010 6.463 2.010 -2.010 6.463 2.010 2.010 -6.463" Properties=species:S:1:pos:R:3 comment="ScTa2Nb2 PBE relaxed" dos_ef_per_ev_atom=1.136 dft_energy_ev_per_fu=-47.4 e_form_mev_per_atom=547 space_group="I4/mmm (139)" pbc="T T T"
Sc 0.000 0.000 0.000
Ta 0.000 0.000 5.170
Ta 0.000 0.000 7.756
Nb 2.010 0.000 3.231
Nb 0.000 2.010 3.231



(3)
4
Lattice="0.000 3.514 3.514 3.514 0.000 3.514 3.514 3.514 0.000" Properties=species:S:1:pos:R:3 comment="PmDyP2 PBE relaxed" dos_ef_per_ev_atom=0.388 dft_energy_ev_per_fu=-24.4 e_form_mev_per_atom=-1058 space_group="Fm-3m (225)" pbc="T T T"
Pm 0.000 0.000 0.000
Dy 3.514 3.514 3.514
P 1.757 1.757 1.757
P 5.272 5.272 5.272



(4)
4
Lattice="2.726 -4.469 0.000 2.726 4.469 0.000 -0.962 0.000 2.583" Properties=species:S:1:pos:R:3 comment="Mg2ReRh PBE relaxed" dos_ef_per_ev_atom=0.733 dft_energy_ev_per_fu=-22.6 e_form_mev_per_atom=94 space_group="C2/m (12)" pbc="T T T"
Mg 1.363 2.234 0.000
Mg 1.363 -2.234 0.000
Re -0.481 0.000 1.291
Rh 2.244 0.000 1.291



(5)
3
Lattice="0.000 4.265 4.265 4.265 0.000 4.265 4.265 4.265 0.000" Properties=species:S:1:pos:R:3 comment="KBaTl PBE relaxed" dos_ef_per_ev_atom=1.268 dft_energy_ev_per_fu=-5.5 e_form_mev_per_atom=-39 space_group="F-43m (216)" pbc="T T T"
K 0.000 0.000 0.000
Ba 4.265 4.265 4.265
Tl 6.398 6.398 6.398



(6)
4
Lattice="2.237 1.291 5.442 -2.237 1.291 5.442 0.000 -2.583 5.442" Properties=species:S:1:pos:R:3 comment="LaAlRe2 PBE relaxed" dos_ef_per_ev_atom=0.358 dft_energy_ev_per_fu=-33.9 e_form_mev_per_atom=-73 space_group="R-3m (166)" pbc="T T T"
La 0.000 0.000 0.000
Al 0.000 0.000 8.163
Re 0.000 0.000 2.925
Re 0.000 0.000 13.401



(7)
6
Lattice="-2.541 2.541 5.492 2.541 -2.541 5.492 2.541 2.541 -5.492" Properties=species:S:1:pos:R:3 comment="ThMg2Ga2Pd PBE relaxed" dos_ef_per_ev_atom=0.691 dft_energy_ev_per_fu=-21.5 e_form_mev_per_atom=61 space_group="I4/mmm (139)" pbc="T T T"
Th 0.000 0.000 0.000
Mg 2.541 0.000 2.746
Mg 0.000 2.541 2.746
Ga 0.000 0.000 3.097
Ga 0.000 0.000 7.887
Pd 0.000 0.000 5.492



(8)
4
Lattice="3.496 0.000 0.000 0.000 3.561 0.000 0.000 0.000 5.238" Properties=species:S:1:pos:R:3 comment="AlZnP2 PBE relaxed" dos_ef_per_ev_atom=0.539 dft_energy_ev_per_fu=-14.9 e_form_mev_per_atom=232 space_group="Pmmm (47)" pbc="T T T"
Al 0.000 0.000 0.000
Zn 0.000 1.780 2.619
P 1.748 0.000 2.619
P 1.748 1.780 0.000